## CdNiBiPb2 (PBE)

Data for a relaxed CdNiBiPb2 crystal.

* space group: No. 123
* formation enthalpy at 0 K: 0.14 eV/atom
* volume: 27.3 A^3/atom

Cell lengths 5.1805, 5.1805, 5.0946 Å; angles 90.00, 90.00, 90.00 degrees
With the nearest neighbours (Å) after each atom.
Sites, in units of the cell vectors:
Cd (0.0000, 0.0000, 0.0000)  2 Ni 2.55
Ni (0.0000, 0.0000, 0.5000)  2 Cd 2.55, 4 Pb 2.59
Bi (0.5000, 0.5000, 0.0000)  8 Pb 3.63, 4 Cd 3.66
Pb (0.0000, 0.5000, 0.5000)  2 Ni 2.59
Pb (0.5000, 0.0000, 0.5000)  2 Ni 2.59

## ThAl11Mo (PBE)

Data for a relaxed ThAl11Mo crystal.

* space group: No. 12
* formation enthalpy at 0 K: -0.21 eV/atom
* volume: 17.5 A^3/atom

Cell lengths 6.9832, 6.9832, 7.1166 Å; angles 98.26, 98.26, 135.00 degrees
With the nearest neighbours (Å) after each atom.
Sites, in units of the cell vectors:
Th (0.0000, 0.0000, 0.0000)  18 Al 3.27-3.56, 2 Mo 3.56
Al (0.0000, 0.5000, 0.0000)  10 Al 2.67-2.93
Al (0.0096, 0.6605, 0.6401)  7 Al 2.69-2.95, 1 Mo 2.74
Al (0.2798, 0.4972, 0.7800)  1 Mo 2.67, 8 Al 2.68-2.95
Al (0.3395, 0.9904, 0.3599)  7 Al 2.69-2.95, 1 Mo 2.74
Al (0.4972, 0.2798, 0.7800)  1 Mo 2.67, 8 Al 2.68-2.95
Al (0.5000, 0.0000, 0.0000)  10 Al 2.67-2.93
Al (0.5000, 0.5000, 0.5000)  2 Mo 2.67, 8 Al 2.68-2.82
Al (0.5028, 0.7202, 0.2200)  1 Mo 2.67, 8 Al 2.68-2.95
Al (0.6605, 0.0096, 0.6401)  7 Al 2.69-2.95, 1 Mo 2.74
Al (0.7202, 0.5028, 0.2200)  1 Mo 2.67, 8 Al 2.68-2.95
Al (0.9904, 0.3395, 0.3599)  7 Al 2.69-2.95, 1 Mo 2.74
Mo (0.0000, 0.0000, 0.5000)  10 Al 2.67-2.74

## Ti3In2S6 (PBE)

Data for a relaxed Ti3In2S6 crystal.

* space group: No. 12
* energy: -5.98 eV per atom
* volume: 21.2 A^3/atom

Cell lengths 5.9674, 5.9674, 7.8406 Å; angles 97.33, 97.33, 120.02 degrees
With the nearest neighbours (Å) after each atom.
Sites, in units of the cell vectors:
Ti (0.0000, 0.0000, 0.0000)  6 S 2.45-2.46
Ti (0.3319, 0.6681, 0.0000)  6 S 2.45-2.47
Ti (0.6681, 0.3319, 0.0000)  6 S 2.45-2.47
In (0.1662, 0.8338, 0.5000)  6 S 3.07, 1 In 3.44
In (0.8338, 0.1662, 0.5000)  6 S 3.07, 1 In 3.44
S (0.0633, 0.3975, 0.1914)  3 Ti 2.45-2.46
S (0.2685, 0.2685, 0.8092)  3 Ti 2.45-2.47
S (0.3975, 0.0633, 0.1914)  3 Ti 2.45-2.46
S (0.6025, 0.9367, 0.8086)  3 Ti 2.45-2.46
S (0.7315, 0.7315, 0.1908)  3 Ti 2.45-2.47
S (0.9367, 0.6025, 0.8086)  3 Ti 2.45-2.46

Please write out number 2 again, unchanged.
## ThAl11Mo (PBE)

Data for a relaxed ThAl11Mo crystal.

* space group: No. 12
* formation enthalpy at 0 K: -0.21 eV/atom
* volume: 17.5 A^3/atom

Cell lengths 6.9832, 6.9832, 7.1166 Å; angles 98.26, 98.26, 135.00 degrees
With the nearest neighbours (Å) after each atom.
Sites, in units of the cell vectors:
Th (0.0000, 0.0000, 0.0000)  18 Al 3.27-3.56, 2 Mo 3.56
Al (0.0000, 0.5000, 0.0000)  10 Al 2.67-2.93
Al (0.0096, 0.6605, 0.6401)  7 Al 2.69-2.95, 1 Mo 2.74
Al (0.2798, 0.4972, 0.7800)  1 Mo 2.67, 8 Al 2.68-2.95
Al (0.3395, 0.9904, 0.3599)  7 Al 2.69-2.95, 1 Mo 2.74
Al (0.4972, 0.2798, 0.7800)  1 Mo 2.67, 8 Al 2.68-2.95
Al (0.5000, 0.0000, 0.0000)  10 Al 2.67-2.93
Al (0.5000, 0.5000, 0.5000)  2 Mo 2.67, 8 Al 2.68-2.82
Al (0.5028, 0.7202, 0.2200)  1 Mo 2.67, 8 Al 2.68-2.95
Al (0.6605, 0.0096, 0.6401)  7 Al 2.69-2.95, 1 Mo 2.74
Al (0.7202, 0.5028, 0.2200)  1 Mo 2.67, 8 Al 2.68-2.95
Al (0.9904, 0.3395, 0.3599)  7 Al 2.69-2.95, 1 Mo 2.74
Mo (0.0000, 0.0000, 0.5000)  10 Al 2.67-2.74